Entry 1:
A plane-wave DFT calculation with PBE was carried out for a geometry-optimized KBaCa2Pt structure.

Computed properties:
- E above lowest polymorph: 0.0000 eV/atom
- Total energy: -3.007 eV/atom
- DFT formation energy: -0.394 eV per atom
- Fermi-level density of states: 3.1 states/eV/f.u.

Cell lengths 5.836, 5.836, 6.261 Å; angles 90.00, 90.00, 90.00 degrees
Positions (direct):
K 0.500 0.500 0.500
Ca 0.000 0.500 0.000
Ca 0.500 0.000 0.000
Ba 0.000 0.000 0.500
Pt 0.000 0.000 0.000

---

Entry 2:
A plane-wave DFT calculation with PBE was carried out for a geometry-optimized Pr5Nd2Ho3 structure.

Computed properties:
- E above lowest polymorph: 0.0000 eV/atom
- Total energy: -4.540 eV/atom
- DFT formation energy: 0.176 eV per atom
- Fermi-level density of states: 17.6 states/eV/f.u.

Cell lengths 10.060, 10.090, 11.329 Å; angles 128.68, 128.62, 66.14 degrees
Positions (direct):
Pr 0.276 0.526 0.053
Pr 0.724 0.474 0.947
Pr 0.022 0.772 0.544
Pr 0.518 0.268 0.536
Pr 0.978 0.228 0.456
Pr 0.482 0.732 0.464
Pr 0.875 0.620 0.758
Pr 0.125 0.380 0.242
Pr 0.383 0.138 0.758
Pr 0.617 0.862 0.242
Nd 0.785 0.029 0.757
Nd 0.215 0.971 0.243
Nd 0.472 0.728 0.757
Nd 0.528 0.272 0.243
Ho 0.229 0.979 0.959
Ho 0.771 0.021 0.041
Ho 0.727 0.466 0.247
Ho 0.273 0.534 0.753
Ho 0.020 0.781 0.247
Ho 0.980 0.219 0.753

---

Entry 3:
A plane-wave DFT calculation with PBE was carried out for a geometry-optimized KCeCdSe3 structure.

Computed properties:
- E_form (uncorrected): -1.287 eV/atom
- Total energy: -4.354 eV/atom
- Fermi-level density of states: 5.8 states/eV/f.u.

Cell lengths 4.385, 9.053, 10.269 Å; angles 105.19, 90.00, 90.00 degrees
Last column: magnetic moment on the atom in μB.
Positions (direct):
K 0.250 0.204 0.223  0.00
K 0.750 0.796 0.777  0.00
Ce 0.250 0.671 0.143  0.96
Ce 0.750 0.329 0.857  0.96
Cd 0.250 0.087 0.607  0.00
Cd 0.750 0.913 0.393  0.00
Se 0.750 0.897 0.134  -0.01
Se 0.250 0.103 0.866  -0.01
Se 0.250 0.778 0.465  0.00
Se 0.750 0.222 0.535  0.00
Se 0.750 0.454 0.151  -0.02
Se 0.250 0.546 0.849  -0.02

---

Entry 4:
A plane-wave DFT calculation with PBE was carried out for a geometry-optimized Li3AcAg9 structure.

Computed properties:
- Total energy: -2.898 eV/atom
- DFT formation energy: -0.166 eV per atom
- Fermi-level density of states: 5.2 states/eV/f.u.

Cell lengths 5.362, 7.204, 7.344 Å; angles 82.56, 68.59, 69.22 degrees
Positions (direct):
Li 0.500 0.500 0.000
Li 0.000 0.000 0.500
Li 0.500 0.000 0.500
Ac 0.000 0.000 0.000
Ag 0.716 0.782 0.771
Ag 0.284 0.218 0.229
Ag 0.513 0.218 0.771
Ag 0.487 0.782 0.229
Ag 0.651 0.350 0.355
Ag 0.349 0.650 0.645
Ag 0.994 0.650 0.355
Ag 0.006 0.350 0.645
Ag 0.000 0.500 0.000

---

Entry 5:
A plane-wave DFT calculation with PBE was carried out for a geometry-optimized Tm4TePb2 structure.

Computed properties:
- E_form (uncorrected): -0.638 eV/atom
- Total energy: -4.701 eV/atom
- Fermi-level density of states: 7.5 states/eV/f.u.

Cell lengths 7.969, 7.969, 7.970 Å; angles 109.77, 109.78, 108.87 degrees
Positions (direct):
Tm 0.874 0.269 0.245
Tm 0.226 0.481 0.105
Tm 0.024 0.629 0.755
Tm 0.731 0.976 0.605
Tm 0.371 0.126 0.395
Tm 0.376 0.121 0.895
Tm 0.519 0.624 0.745
Tm 0.879 0.774 0.255
Te 0.250 0.750 0.500
Te 0.000 0.000 0.000
Pb 0.751 0.375 0.875
Pb 0.499 0.875 0.125
Pb 0.625 0.500 0.376
Pb 0.125 0.250 0.625

---

Entry 6:
A plane-wave DFT calculation with PBE was carried out for a geometry-optimized AgSn2TeSe2 structure.

Computed properties:
- E_form (uncorrected): -0.222 eV/atom
- Total energy: -3.717 eV/atom
- Fermi-level density of states: 3.4 states/eV/f.u.

Cell lengths 7.985, 7.108, 7.228 Å; angles 119.45, 90.00, 90.00 degrees
Positions (direct):
Ag 0.300 0.721 0.000
Ag 0.800 0.279 0.000
Sn 0.850 0.942 0.320
Sn 0.850 0.622 0.680
Sn 0.350 0.378 0.320
Sn 0.350 0.058 0.680
Te 0.602 0.924 0.000
Te 0.102 0.076 0.000
Se 0.186 0.730 0.352
Se 0.186 0.379 0.648
Se 0.686 0.270 0.648
Se 0.686 0.621 0.352